Crystalline Ti2FeSiO at its relaxed geometry, computed with PBEsol.

E	-8.42	eV per atom
crystal system	tetragonal

Unit cell a=3.9975 b=3.9975 c=3.7624 alpha=90.00 beta=90.00 gamma=90.00
Closest atoms and distances in Å follow each position.
Space group P4/mmm (No. 123)
Unique sites:
Ti1 0.0000 0.5000 0.0000 (multiplicity 2)  2 O 2.00
Fe1 0.0000 0.0000 0.5000 (multiplicity 1)  2 O 1.88
Si1 0.5000 0.5000 0.5000 (multiplicity 1)  8 Ti 2.74, 4 Fe 2.83
O1 0.0000 0.0000 0.0000 (multiplicity 1)  2 Fe 1.88, 4 Ti 2.00

Crystalline SnSO4 at its relaxed geometry, computed with PBEsol.

E	-6.34	eV per atom
crystal system	orthorhombic

Unit cell a=8.5988 b=5.4221 c=7.0427 alpha=90.00 beta=90.00 gamma=90.00
Closest atoms and distances in Å follow each position.
Space group Pnma (No. 62)
Unique sites:
Sn1 0.2220 0.2500 0.1978 (multiplicity 4)  3 O 2.28-2.33
S1 0.0731 0.2500 0.6707 (multiplicity 4)  4 O 1.46-1.50
O1 0.0827 0.7500 0.4133 (multiplicity 4)  1 S 1.46
O2 0.0929 0.0255 0.7931 (multiplicity 8)  1 S 1.50
O3 0.2012 0.2500 0.5273 (multiplicity 4)  1 S 1.49

Crystalline PrLuIn2 at its relaxed geometry, computed with PBEsol.

crystal system	cubic
ΔE_f	-481	meV/atom

Unit cell a=7.4647 b=7.4647 c=7.4647 alpha=90.00 beta=90.00 gamma=90.00
Closest atoms and distances in Å follow each position.
Space group Fm-3m (No. 225)
Unique sites:
Pr1 0.0000 0.0000 0.0000 (multiplicity 4)  8 In 3.23
Lu1 0.0000 0.0000 0.5000 (multiplicity 4)  8 In 3.23
In1 0.2500 0.2500 0.2500 (multiplicity 8)  4 Pr 3.23, 4 Lu 3.23

Crystalline Ge19Sb4I4 at its relaxed geometry, computed with PBEsol.

E	-4.49	eV per atom
crystal system	cubic

Unit cell a=10.8744 b=10.8744 c=10.8744 alpha=90.00 beta=90.00 gamma=90.00
Closest atoms and distances in Å follow each position.
Space group P-43n (No. 218)
Unique sites:
Ge1 0.0000 0.2500 0.5000 (multiplicity 6)  4 Ge 2.49
Ge2 0.0098 0.1147 0.6841 (multiplicity 24)  3 Ge 2.46-2.50, 1 Sb 2.66
Ge3 0.1773 0.1773 0.8227 (multiplicity 8)  3 Ge 2.46, 1 Sb 2.62
Sb1 0.1839 0.1839 0.1839 (multiplicity 8)  4 Ge 2.62-2.66
I1 0.0000 0.0000 0.0000 (multiplicity 2)  16 Ge 3.34-3.66, 4 Sb 3.46
I2 0.0000 0.5000 0.2500 (multiplicity 6)  12 Ge 3.52-3.84

Crystalline PmAgHg2 at its relaxed geometry, computed with PBEsol.

crystal system	cubic
ΔE_f	-442	meV/atom

Unit cell a=7.0430 b=7.0430 c=7.0430 alpha=90.00 beta=90.00 gamma=90.00
Closest atoms and distances in Å follow each position.
Space group Fm-3m (No. 225)
Unique sites:
Pm1 0.0000 0.0000 0.0000 (multiplicity 4)  8 Hg 3.05
Ag1 0.0000 0.0000 0.5000 (multiplicity 4)  8 Hg 3.05
Hg1 0.2500 0.2500 0.2500 (multiplicity 8)  4 Pm 3.05, 4 Ag 3.05

Crystalline NbCoW3 at its relaxed geometry, computed with PBEsol.

crystal system	cubic
ΔE_f	1285	meV/atom

Unit cell a=4.4157 b=4.4157 c=4.4157 alpha=90.00 beta=90.00 gamma=90.00
Closest atoms and distances in Å follow each position.
Space group Pm-3m (No. 221)
Unique sites:
Nb1 0.0000 0.0000 0.0000 (multiplicity 1)  12 W 3.12
Co1 0.5000 0.5000 0.5000 (multiplicity 1)  6 W 2.21
W1 0.0000 0.5000 0.5000 (multiplicity 3)  2 Co 2.21